A relaxed structure of Na3NbGe. Source: Alexandria via LeMat-Bulk, functional GGA-PBE.

Properties
As for the formation energy: 1090 meV per atom. As for the uncorrected energy: -2.639 eV per atom. The energy relative to the lowest polymorph listed for this composition comes out at 0.0000 eV per atom. Its symmetry is Pm-3m, No. 221. The crystal system is cubic.

Geometry as POSCAR:
```
Na3NbGe
1.0
-3.615 0.755 -4.026
-2.782 -4.393 1.675
-3.006 3.159 3.292
Na Nb Ge
3 1 1
Direct
0.000 0.500 0.000
0.000 0.000 0.500
0.500 0.000 0.000
0.500 0.500 0.500
0.000 0.000 0.000
```

A relaxed structure of Na3NbGe. Source: Alexandria via LeMat-Bulk, functional GGA-PBE.

Properties
As for the formation energy: 1458 meV per atom. As for the uncorrected energy: -2.270 eV per atom. The energy relative to the lowest polymorph listed for this composition comes out at 0.3687 eV per atom. Its symmetry is Pm-3m, No. 221. The crystal system is cubic.

Geometry as POSCAR:
```
Na3NbGe
1.0
-5.301 -0.343 -2.124
0.248 -5.707 0.302
-2.138 0.188 5.303
Na Nb Ge
3 1 1
Direct
0.000 0.500 0.000
0.000 0.000 0.500
0.500 0.000 0.000
0.000 0.000 0.000
0.500 0.500 0.500
```

A relaxed structure of NaNbGe. Source: Alexandria via LeMat-Bulk, functional GGA-PBE.

Properties
As for the formation energy: -100 meV per atom. As for the uncorrected energy: -5.436 eV per atom. Its symmetry is P-1, No. 2. The crystal system is triclinic.

Geometry as POSCAR:
```
NaNbGe
1.0
-1.702 0.428 -2.425
1.954 -0.174 -2.261
-2.223 -14.015 -0.944
Na Nb Ge
2 2 2
Direct
0.751 0.740 0.383
0.249 0.260 0.617
0.751 0.747 0.079
0.249 0.253 0.921
0.251 0.243 0.216
0.749 0.757 0.784
```

A relaxed structure of NaNbGe. Source: Alexandria via LeMat-Bulk, functional GGA-PBE.

Properties
As for the formation energy: -219 meV per atom. As for the uncorrected energy: -5.554 eV per atom. Its symmetry is I4/mmm, No. 139. The crystal system is tetragonal.

Geometry as POSCAR:
```
NaNbGe
1.0
3.458 0.000 0.000
0.000 3.458 0.000
-1.729 -1.729 11.669
Nb Ge Na
2 2 2
Direct
0.283 0.283 0.566
0.717 0.717 0.434
0.164 0.164 0.328
0.836 0.836 0.672
0.575 0.575 0.150
0.425 0.425 0.850
```

A relaxed structure of NaNbGe. Source: Alexandria via LeMat-Bulk, functional GGA-PBE.

Properties
As for the formation energy: -1 meV per atom. As for the uncorrected energy: -5.337 eV per atom. Its symmetry is Pmmn, No. 59. The crystal system is orthorhombic.

Geometry as POSCAR:
```
NaNbGe
1.0
3.702 0.000 0.000
0.000 8.125 0.000
0.000 0.000 3.709
Na Nb Ge
2 2 2
Direct
0.000 0.999 0.000
0.500 0.001 0.500
0.000 0.382 0.500
0.500 0.618 0.000
0.000 0.708 0.500
0.500 0.292 0.000
```

A relaxed structure of NaNb2Ge. Source: Alexandria via LeMat-Bulk, functional GGA-PBE.

Properties
As for the formation energy: 624 meV per atom. As for the uncorrected energy: -5.895 eV per atom. Its symmetry is I-42d, No. 122. The crystal system is tetragonal.

Geometry as POSCAR:
```
NaNb2Ge
1.0
7.668 0.000 0.000
0.000 7.668 0.000
3.834 3.834 2.704
Na Nb Ge
2 4 2
Direct
0.500 0.500 0.000
0.250 0.750 0.500
0.663 0.125 0.250
0.087 0.625 0.250
0.375 0.337 0.750
0.875 0.913 0.750
0.000 0.000 0.000
0.750 0.250 0.500
```